(1)
Density functional theory data (GGA-PBE) for a geometry-optimized HgW2 structure.

Calculated values
DOS at the Fermi energy: 1.71 states/eV/f.u.
calculated density: 17.42 g/cm3
formation energy from the elements: 0.694 eV/atom
SG: C2/m, No. 12
energy relative to the lowest polymorph listed for this composition: 1.956 kcal/mol of atoms
volume: 18.05 Å³ per atom
size of the total moment: 0.00 μB per formula unit
DFT total energy: -48.25 eV/cell

a b c (Å): 5.754 5.754 7.536
angles (deg): 71.34 71.34 27.38
Sites, in units of the cell vectors:
1 W 0.451 0.451 0.776
2 W 0.138 0.138 0.484
3 Hg 0.170 0.170 0.860
4 W 0.549 0.549 0.224
5 W 0.862 0.862 0.516
6 Hg 0.830 0.830 0.140


(2)
Density functional theory data (GGA-PBE) for a geometry-optimized Hg5W structure.

Calculated values
DOS at the Fermi energy: 2.74 states/eV/f.u.
calculated density: 15.37 g/cm3
formation energy from the elements: 0.581 eV/atom
SG: Amm2, No. 38
energy relative to the lowest polymorph listed for this composition: 2.989 kcal/mol of atoms
volume: 21.37 Å³ per atom
size of the total moment: 0.00 μB per formula unit
DFT total energy: -10.98 eV/cell

a b c (Å): 8.262 8.262 5.212
angles (deg): 90.00 90.00 158.88
Sites, in units of the cell vectors:
1 Hg 0.339 0.661 0.000
2 Hg 0.663 0.337 0.000
3 Hg 0.549 0.451 0.500
4 W 0.890 0.110 0.500
5 Hg 0.231 0.769 0.500
6 Hg 0.995 0.005 0.000


(3)
Density functional theory data (GGA-PBE) for a geometry-optimized HgW2 structure.

Calculated values
DOS at the Fermi energy: 2.39 states/eV/f.u.
calculated density: 18.12 g/cm3
formation energy from the elements: 0.972 eV/atom
SG: P6_3/mmc, No. 194
energy relative to the lowest polymorph listed for this composition: 8.366 kcal/mol of atoms
volume: 17.36 Å³ per atom
size of the total moment: 0.00 μB per formula unit
DFT total energy: -46.58 eV/cell

a b c (Å): 4.641 4.641 5.585
angles (deg): 90.00 90.00 120.00
Sites, in units of the cell vectors:
1 Hg 0.333 0.667 0.250
2 Hg 0.667 0.333 0.750
3 W 0.000 0.000 0.000
4 W 0.667 0.333 0.250
5 W 0.333 0.667 0.750
6 W 0.000 0.000 0.500


(4)
Density functional theory data (GGA-PBE) for a geometry-optimized HgW2 structure.

Calculated values
DOS at the Fermi energy: 1.43 states/eV/f.u.
calculated density: 17.67 g/cm3
formation energy from the elements: 0.637 eV/atom
SG: I4/mmm, No. 139
energy relative to the lowest polymorph listed for this composition: 0.627 kcal/mol of atoms
volume: 17.80 Å³ per atom
size of the total moment: 0.00 μB per formula unit
DFT total energy: -24.30 eV/cell

a b c (Å): 5.298 5.298 5.298
angles (deg): 143.05 143.05 53.26
Sites, in units of the cell vectors:
1 W 0.814 0.814 0.000
2 Hg 0.500 0.500 0.000
3 W 0.186 0.186 0.000


(5)
Density functional theory data (GGA-PBE) for a geometry-optimized HgW2 structure.

Calculated values
DOS at the Fermi energy: 0.85 states/eV/f.u.
calculated density: 14.54 g/cm3
formation energy from the elements: 1.887 eV/atom
SG: Pa-3, No. 205
energy relative to the lowest polymorph listed for this composition: 29.463 kcal/mol of atoms
volume: 21.63 Å³ per atom
size of the total moment: 0.00 μB per formula unit
DFT total energy: -82.19 eV/cell

a b c (Å): 6.379 6.379 6.379
angles (deg): 90.00 90.00 90.00
Sites, in units of the cell vectors:
1 W 0.105 0.605 0.895
2 W 0.895 0.105 0.605
3 Hg 0.000 0.500 0.500
4 Hg 0.000 0.000 0.000
5 W 0.395 0.105 0.895
6 W 0.395 0.395 0.395
7 Hg 0.500 0.000 0.500
8 W 0.605 0.605 0.605
9 Hg 0.500 0.500 0.000
10 W 0.895 0.395 0.105
11 W 0.605 0.895 0.105
12 W 0.105 0.895 0.395


(6)
Density functional theory data (GGA-PBE) for a geometry-optimized HgW3 structure.

Calculated values
DOS at the Fermi energy: 0.75 states/eV/f.u.
calculated density: 18.48 g/cm3
formation energy from the elements: 0.607 eV/atom
SG: Pm-3n, No. 223
energy relative to the lowest polymorph listed for this composition: 4.040 kcal/mol of atoms
volume: 16.90 Å³ per atom
size of the total moment: 0.00 μB per formula unit
DFT total energy: -73.47 eV/cell

a b c (Å): 5.132 5.132 5.132
angles (deg): 90.00 90.00 90.00
Sites, in units of the cell vectors:
1 W 0.000 0.250 0.500
2 Hg 0.500 0.500 0.500
3 W 0.500 0.000 0.750
4 Hg 0.000 0.000 0.000
5 W 0.000 0.750 0.500
6 W 0.250 0.500 0.000
7 W 0.500 0.000 0.250
8 W 0.750 0.500 0.000


(7)
Density functional theory data (GGA-PBE) for a geometry-optimized Hg3W4 structure.

Calculated values
DOS at the Fermi energy: 6.72 states/eV/f.u.
calculated density: 17.44 g/cm3
formation energy from the elements: 1.177 eV/atom
SG: P6/mmm, No. 191
energy relative to the lowest polymorph listed for this composition: 12.360 kcal/mol of atoms
volume: 18.18 Å³ per atom
size of the total moment: 0.00 μB per formula unit
DFT total energy: -44.48 eV/cell

a b c (Å): 5.324 5.324 5.186
angles (deg): 90.00 90.00 120.00
Sites, in units of the cell vectors:
1 Hg 0.500 0.000 0.000
2 Hg 0.000 0.500 0.000
3 W 0.000 0.000 0.726
4 W 0.667 0.333 0.500
5 Hg 0.500 0.500 0.000
6 W 0.333 0.667 0.500
7 W 0.000 0.000 0.274


(8)
Density functional theory data (GGA-PBE) for a geometry-optimized HgW3 structure.

Calculated values
DOS at the Fermi energy: 4.16 states/eV/f.u.
calculated density: 18.26 g/cm3
formation energy from the elements: 0.615 eV/atom
SG: Pmmn, No. 59
energy relative to the lowest polymorph listed for this composition: 4.229 kcal/mol of atoms
volume: 17.10 Å³ per atom
size of the total moment: 0.00 μB per formula unit
DFT total energy: -73.40 eV/cell

a b c (Å): 4.647 5.079 5.794
angles (deg): 90.00 90.00 90.00
Sites, in units of the cell vectors:
1 Hg 0.500 0.657 0.500
2 W 0.000 0.298 0.500
3 W 0.500 0.159 0.738
4 W 0.000 0.841 0.762
5 W 0.500 0.159 0.262
6 Hg 0.000 0.343 0.000
7 W 0.500 0.702 0.000
8 W 0.000 0.841 0.238